# 1
Computed, not measured: a crystal of Sc2AlRu relaxed with PBEsol at the SCAN level of DFT.

Unit cell a=3.131 b=3.131 c=8.802 alpha=79.75 beta=79.75 gamma=60.00
Atoms (fractional coordinates):
1 Ru 0.000 0.000 0.000
2 Sc 0.259 0.259 0.223
3 Sc 0.741 0.741 0.777
4 Al 0.500 0.500 0.500

Properties
Energy of formation from the pure elements (eV/atom): -0.31
D(E_F) (states/eV per atom): 0.75
Electronic total energy (eV per cell): -72.3

=====

# 2
Computed, not measured: a crystal of HfGa2Cu2 relaxed with PBEsol at the SCAN level of DFT.

Unit cell a=3.746 b=3.746 c=5.939 alpha=108.38 beta=108.38 gamma=90.00
Atoms (fractional coordinates):
1 Ga 0.250 0.750 0.500
2 Ga 0.750 0.250 0.500
3 Hf 0.000 0.000 0.000
4 Cu 0.606 0.606 0.212
5 Cu 0.394 0.394 0.788

Properties
Energy of formation from the pure elements (eV/atom): -0.26
D(E_F) (states/eV per atom): 0.41
Electronic total energy (eV per cell): -127.1